Ce6CoPb3 | PBE | optimized geometry

Properties
The total energy comes out at -55.9 eV/cell. Its space-group type is C2/m, No. 12. Its formation energy is -2.0 eV/f.u.

Unit cell a=6.4662 b=6.4662 c=8.1514 alpha=101.96 beta=101.96 gamma=61.38
With the nearest neighbours (Å) after each atom.
Element x y z (fractional)
Ce (0.1075, 0.6704, 0.6283)  1 Co 2.59, 1 Ce 2.89
Ce (0.3296, 0.8925, 0.3717)  1 Co 2.59, 1 Ce 2.89
Ce (0.3503, 0.3503, 0.1434)  1 Co 2.98, 1 Pb 3.33
Ce (0.6497, 0.6497, 0.8566)  1 Co 2.98, 1 Pb 3.33
Ce (0.6704, 0.1075, 0.6283)  1 Co 2.59, 1 Ce 2.89
Ce (0.8925, 0.3296, 0.3717)  1 Co 2.59, 1 Ce 2.89
Co (0.5000, 0.5000, 0.5000)  4 Ce 2.59
Pb (0.0000, 0.0000, 0.0000)  2 Pb 3.20, 4 Ce 3.31
Pb (0.1800, 0.1800, 0.7467)  1 Pb 3.20, 9 Ce 3.30-3.46
Pb (0.8200, 0.8200, 0.2533)  1 Pb 3.20, 9 Ce 3.30-3.46

Mn3Sb2 | PBE | optimized geometry

Properties
The total energy comes out at -35.3 eV/cell. Its space-group type is P-6m2, No. 187. The value obtained for the formation energy without anion corrections is 0.5 eV per formula unit.

Unit cell a=4.3236 b=4.3236 c=5.3423 alpha=90.00 beta=90.00 gamma=120.00
With the nearest neighbours (Å) after each atom.
Element x y z (fractional)
Mn (0.0000, 0.0000, 0.0000)  5 Sb 2.50-2.67
Mn (0.6667, 0.3333, 0.2480)  5 Mn 2.65-2.83, 6 Sb 2.83-2.84
Mn (0.6667, 0.3333, 0.7520)  5 Mn 2.65-2.83, 6 Sb 2.83-2.84
Sb (0.0000, 0.0000, 0.5000)  8 Mn 2.67-2.84
Sb (0.3333, 0.6667, 0.0000)  3 Mn 2.50

DyScCuPt | PBE | optimized geometry

Properties
The total energy comes out at -24.1 eV/cell. Its space-group type is F-43m, No. 216. Its formation energy is -3.0 eV/f.u. The value obtained for the relative energy among the computed polymorphs is 0.005 eV per atom.

Unit cell a=4.7890 b=4.7890 c=4.7890 alpha=60.00 beta=60.00 gamma=60.00
With the nearest neighbours (Å) after each atom.
Element x y z (fractional)
Dy (0.0000, 0.0000, 0.0000)  4 Pt 2.93, 4 Cu 2.93
Sc (0.5000, 0.5000, 0.5000)  4 Pt 2.93, 4 Cu 2.93
Cu (0.2500, 0.2500, 0.2500)  4 Dy 2.93, 4 Sc 2.93
Pt (0.7500, 0.7500, 0.7500)  4 Dy 2.93, 4 Sc 2.93

CeSmCo2 | PBE | optimized geometry

Properties
The total energy comes out at -25.0 eV/cell. Its space-group type is Fm-3m, No. 225. Its formation energy is -0.2 eV/f.u. The value obtained for the relative energy among the computed polymorphs is 0.155 eV per atom.

Unit cell a=4.7804 b=4.7804 c=4.7804 alpha=60.00 beta=60.00 gamma=60.00
With the nearest neighbours (Å) after each atom.
Element x y z (fractional)
Ce (0.0000, 0.0000, 0.0000)  8 Co 2.93
Sm (0.5000, 0.5000, 0.5000)  8 Co 2.93
Co (0.2500, 0.2500, 0.2500)  4 Sm 2.93, 4 Ce 2.93
Co (0.7500, 0.7500, 0.7500)  4 Ce 2.93, 4 Sm 2.93